No. 1
VASP calculation (GGA-PBE) on an optimized crystal structure of EuHo2Sn.

Output
* formation energy from the elements: -0.2154 eV/atom
* energy above the most stable polymorph in this dataset: 151 meV per atom
* DOS at the Fermi energy: 4.9 states/eV per cell
* space group: Fm-3m (225)

Lattice parameters (Å, degrees): 5.4401 5.4401 5.4396 60.00 60.00 60.00
With the nearest neighbours (Å) after each atom.
Atoms (fractional coordinates):
Eu 0.5000 0.5000 0.5000  8 Ho 3.33
Ho 0.2500 0.2500 0.2501  4 Sn 3.33, 4 Eu 3.33
Ho 0.7500 0.7500 0.7499  4 Sn 3.33, 4 Eu 3.33
Sn 0.0000 0.0000 0.0000  8 Ho 3.33


No. 2
VASP calculation (GGA-PBE) on an optimized crystal structure of K4Cd3.

Output
* formation energy from the elements: 0.0101 eV/atom
* energy above the most stable polymorph in this dataset: 41 meV per atom
* DOS at the Fermi energy: 3.8 states/eV per cell
* space group: P6/mmm (191)

Lattice parameters (Å, degrees): 6.7394 6.7394 7.2785 90.00 90.00 120.00
With the nearest neighbours (Å) after each atom.
Atoms (fractional coordinates):
Cd 0.0000 0.5000 0.0000  4 Cd 3.37, 4 K 3.77
Cd 0.5000 0.5000 0.0000  4 Cd 3.37, 4 K 3.77
Cd 0.5000 0.0000 0.0000  4 Cd 3.37, 4 K 3.77
K 0.0000 0.0000 0.2332  1 K 3.39, 6 Cd 3.77
K 0.0000 0.0000 0.7668  1 K 3.39, 6 Cd 3.77
K 0.6667 0.3333 0.5000  9 K 3.89-4.35, 6 Cd 4.13
K 0.3333 0.6667 0.5000  9 K 3.89-4.35, 6 Cd 4.13


No. 3
VASP calculation (GGA-PBE) on an optimized crystal structure of Tm6Sn2Pt.

Output
* formation energy from the elements: -0.5767 eV/atom
* DOS at the Fermi energy: 20.1 states/eV per cell
* space group: P2_1/c (14)

Lattice parameters (Å, degrees): 6.2731 8.1235 9.8232 90.00 89.17 90.00
With the nearest neighbours (Å) after each atom.
Atoms (fractional coordinates):
Tm 0.8759 0.9737 0.2369  1 Pt 2.72
Tm 0.8688 0.6758 0.5526  1 Pt 2.80, 2 Sn 3.09-3.10
Tm 0.8758 0.6850 0.9511  1 Pt 2.83, 2 Sn 3.14-3.17
Tm 0.6242 0.1850 0.5489  1 Pt 2.83, 2 Sn 3.14-3.17
Tm 0.6312 0.1758 0.9474  1 Pt 2.80, 2 Sn 3.09-3.10
Tm 0.6241 0.4737 0.2631  1 Pt 2.72
Tm 0.1241 0.0263 0.7631  1 Pt 2.72
Tm 0.1312 0.3242 0.4474  1 Pt 2.80, 2 Sn 3.09-3.10
Tm 0.1242 0.3150 0.0489  1 Pt 2.83, 2 Sn 3.14-3.17
Tm 0.3758 0.8150 0.4511  1 Pt 2.83, 2 Sn 3.14-3.17
Tm 0.3688 0.8242 0.0526  1 Pt 2.80, 2 Sn 3.09-3.10
Tm 0.3759 0.5263 0.7369  1 Pt 2.72
Sn 0.9135 0.3810 0.7499  8 Tm 3.09-3.29
Sn 0.5865 0.8810 0.7501  8 Tm 3.09-3.29
Sn 0.4135 0.1190 0.2499  8 Tm 3.09-3.29
Sn 0.0865 0.6190 0.2501  8 Tm 3.09-3.29
Pt 0.5000 0.5000 0.0000  6 Tm 2.72-2.83
Pt 0.0000 0.0000 0.5000  6 Tm 2.72-2.83


No. 4
VASP calculation (GGA-PBE) on an optimized crystal structure of ErAl4Ag8.

Output
* formation energy from the elements: -0.1824 eV/atom
* DOS at the Fermi energy: 4.7 states/eV per cell
* space group: I4/mmm (139)

Lattice parameters (Å, degrees): 5.3844 7.1109 7.1109 81.76 67.75 67.75
With the nearest neighbours (Å) after each atom.
Atoms (fractional coordinates):
Er 0.0000 0.0000 0.0000  12 Ag 3.18-3.36, 8 Al 3.56
Al 0.0000 0.0000 0.5000  2 Al 2.69, 8 Ag 2.71-2.82
Al 0.5000 0.0000 0.5000  2 Al 2.69, 8 Ag 2.71-2.82
Al 0.0000 0.5000 0.0000  2 Al 2.69, 8 Ag 2.71-2.82
Al 0.5000 0.5000 0.0000  2 Al 2.69, 8 Ag 2.71-2.82
Ag 0.0000 0.3412 0.6588  4 Al 2.82, 5 Ag 2.93-3.03
Ag 0.0000 0.6588 0.3412  4 Al 2.82, 5 Ag 2.93-3.03
Ag 0.3412 0.6588 0.6588  4 Al 2.82, 5 Ag 2.93-3.03
Ag 0.6588 0.3412 0.3412  4 Al 2.82, 5 Ag 2.93-3.03
Ag 0.5000 0.7839 0.2161  4 Al 2.71, 6 Ag 2.84-3.03
Ag 0.5000 0.2161 0.7839  4 Al 2.71, 6 Ag 2.84-3.03
Ag 0.2839 0.2161 0.2161  4 Al 2.71, 6 Ag 2.84-3.03
Ag 0.7161 0.7839 0.7839  4 Al 2.71, 6 Ag 2.84-3.03


No. 5
VASP calculation (GGA-PBE) on an optimized crystal structure of Pu2TcGe.

Output
* formation energy from the elements: 0.3056 eV/atom
* energy above the most stable polymorph in this dataset: 524 meV per atom
* DOS at the Fermi energy: 12.4 states/eV per cell
* space group: R-3m (166)

Lattice parameters (Å, degrees): 3.1633 3.1633 10.5277 81.36 81.36 60.00
With the nearest neighbours (Å) after each atom.
Atoms (fractional coordinates):
Ge 0.0000 0.0000 0.0000  2 Pu 3.01, 6 Ge 3.16
Tc 0.5000 0.5000 0.5000  6 Pu 2.84, 6 Tc 3.16
Pu 0.0966 0.0966 0.7101  3 Tc 2.84, 1 Ge 3.01, 6 Pu 3.16
Pu 0.9034 0.9034 0.2899  3 Tc 2.84, 1 Ge 3.01, 6 Pu 3.16